(1)
Density functional theory data (PBE) for a geometry-optimized PrEr3Ga3 structure.

Values from the calculation:
For the magnetic moment, the calculation gives 0.0 μB/cell. The calculation puts the formation energy at -0.438 eV/atom.

Geometry as CIF:
```
data_PrEr3Ga3
_chemical_formula_sum 'Pr2 Er6 Ga6'
_symmetry_space_group_name_H-M 'P 63/m'
_symmetry_Int_Tables_number 176
_symmetry_space_group_name_Hall '-P 6c'
_cell_length_a 9.2188
_cell_length_b 9.2188
_cell_length_c 4.7791
_cell_angle_alpha 90.00
_cell_angle_beta 90.00
_cell_angle_gamma 120.00
loop_
_atom_site_label
_atom_site_type_symbol
_atom_site_fract_x
_atom_site_fract_y
_atom_site_fract_z
Pr1 Pr 0.3333 0.6667 0.2500
Er1 Er 0.0185 0.7629 0.7500
Ga1 Ga 0.0578 0.4483 0.7500
```



(2)
Density functional theory data (PBE) for a geometry-optimized Pr2Er3Ga4 structure.

Values from the calculation:
For the magnetic moment, the calculation gives 0.0 μB/cell. The calculation puts the formation energy at -0.580 eV/atom.

Geometry as CIF:
```
data_Pr2Er3Ga4
_chemical_formula_sum 'Pr4 Er6 Ga8'
_symmetry_space_group_name_H-M 'P 1 21/c 1'
_symmetry_Int_Tables_number 14
_cell_length_a 7.9683
_cell_length_b 7.9881
_cell_length_c 7.6237
_cell_angle_alpha 90.00
_cell_angle_beta 107.02
_cell_angle_gamma 90.00
loop_
_symmetry_equiv_pos_as_xyz
'x,y,z'
'-x,-y,-z'
'-x,y+1/2,-z+1/2'
'x,-y+1/2,z+1/2'
loop_
_atom_site_label
_atom_site_type_symbol
_atom_site_fract_x
_atom_site_fract_y
_atom_site_fract_z
Pr1 Pr 0.1919 0.1794 0.0753
Er1 Er 0.2428 0.6753 0.2508
Er2 Er 0.5000 0.0000 0.5000
Ga1 Ga 0.0803 0.5315 0.8693
Ga2 Ga 0.4960 0.1186 0.8770
```



(3)
Density functional theory data (PBE) for a geometry-optimized Pr2ErGa6 structure.

Values from the calculation:
For the magnetic moment, the calculation gives 0.0 μB/cell. The calculation puts the formation energy at -0.406 eV/atom.

Geometry as CIF:
```
data_Pr2ErGa6
_chemical_formula_sum 'Pr4 Er2 Ga12'
_symmetry_space_group_name_H-M 'I m m m'
_symmetry_Int_Tables_number 71
_symmetry_space_group_name_Hall '-I 2 2'
_cell_length_a 4.3917
_cell_length_b 7.1251
_cell_length_c 13.7525
_cell_angle_alpha 90.00
_cell_angle_beta 90.00
_cell_angle_gamma 90.00
loop_
_atom_site_label
_atom_site_type_symbol
_atom_site_fract_x
_atom_site_fract_y
_atom_site_fract_z
Pr1 Pr 0.0000 0.0000 0.1314
Er1 Er 0.0000 0.5000 0.0000
Ga1 Ga 0.0000 0.1845 0.3251
Ga2 Ga 0.0000 0.3061 0.5000
```



(4)
Density functional theory data (PBE) for a geometry-optimized Pr3ErGa2 structure.

Values from the calculation:
For the magnetic moment, the calculation gives 0.0 μB/cell. The calculation puts the formation energy at -0.388 eV/atom.

Geometry as CIF:
```
data_Pr3ErGa2
_chemical_formula_sum 'Pr6 Er2 Ga4'
_symmetry_space_group_name_H-M 'P m c 21'
_symmetry_Int_Tables_number 26
_cell_length_a 5.1681
_cell_length_b 9.7611
_cell_length_c 6.6788
_cell_angle_alpha 90.00
_cell_angle_beta 90.00
_cell_angle_gamma 90.00
loop_
_symmetry_equiv_pos_as_xyz
'x,y,z'
'-x,-y,z+1/2'
'-x,y,z'
'x,-y,z+1/2'
loop_
_atom_site_label
_atom_site_type_symbol
_atom_site_fract_x
_atom_site_fract_y
_atom_site_fract_z
Pr1 Pr 0.0000 0.0484 0.0000
Pr2 Pr 0.0000 0.3373 0.3338
Pr3 Pr 0.5000 0.1774 0.7017
Er1 Er 0.5000 0.4439 0.0337
Ga1 Ga 0.0000 0.3511 0.8183
Ga2 Ga 0.5000 0.1510 0.2250
```



(5)
Density functional theory data (PBE) for a geometry-optimized Pr2ErGa structure.

Values from the calculation:
For the magnetic moment, the calculation gives 0.0 μB/cell. The calculation puts the formation energy at 0.156 eV/atom.

Geometry as CIF:
```
data_Pr2ErGa
_chemical_formula_sum 'Pr6 Er3 Ga3'
_symmetry_space_group_name_H-M 'R -3 m'
_symmetry_Int_Tables_number 166
_symmetry_space_group_name_Hall '-R 3 2"'
_cell_length_a 3.5476
_cell_length_b 3.5476
_cell_length_c 35.9605
_cell_angle_alpha 90.00
_cell_angle_beta 90.00
_cell_angle_gamma 120.00
loop_
_atom_site_label
_atom_site_type_symbol
_atom_site_fract_x
_atom_site_fract_y
_atom_site_fract_z
Pr1 Pr 0.0000 0.0000 0.0863
Er1 Er 0.0000 0.0000 0.5000
Ga1 Ga 0.0000 0.0000 0.0000
```



(6)
Density functional theory data (PBE) for a geometry-optimized Pr3ErGa4 structure.

Values from the calculation:
For the magnetic moment, the calculation gives 0.0 μB/cell. The calculation puts the formation energy at -0.557 eV/atom.

Geometry as CIF:
```
data_Pr3ErGa4
_chemical_formula_sum 'Pr3 Er1 Ga4'
_symmetry_space_group_name_H-M 'P 4/m m m'
_symmetry_Int_Tables_number 123
_symmetry_space_group_name_Hall '-P 4 2'
_cell_length_a 3.6719
_cell_length_b 3.6719
_cell_length_c 14.7873
_cell_angle_alpha 90.00
_cell_angle_beta 90.00
_cell_angle_gamma 90.00
loop_
_atom_site_label
_atom_site_type_symbol
_atom_site_fract_x
_atom_site_fract_y
_atom_site_fract_z
Pr1 Pr 0.0000 0.0000 0.0000
Pr2 Pr 0.0000 0.0000 0.2574
Er1 Er 0.0000 0.0000 0.5000
Ga1 Ga 0.5000 0.5000 0.1289
Ga2 Ga 0.5000 0.5000 0.3899
```



(7)
Density functional theory data (PBE) for a geometry-optimized PrErGa4 structure.

Values from the calculation:
For the magnetic moment, the calculation gives 0.0 μB/cell. The calculation puts the formation energy at -0.635 eV/atom.

Geometry as CIF:
```
data_PrErGa4
_chemical_formula_sum 'Pr2 Er2 Ga8'
_symmetry_space_group_name_H-M 'I -4 m 2'
_symmetry_Int_Tables_number 119
_symmetry_space_group_name_Hall 'I -4 -2'
_cell_length_a 4.2226
_cell_length_b 4.2226
_cell_length_c 14.7922
_cell_angle_alpha 90.00
_cell_angle_beta 90.00
_cell_angle_gamma 90.00
loop_
_atom_site_label
_atom_site_type_symbol
_atom_site_fract_x
_atom_site_fract_y
_atom_site_fract_z
Pr1 Pr 0.0000 0.0000 0.0000
Er1 Er 0.0000 0.5000 0.2500
Ga1 Ga 0.0000 0.0000 0.4156
Ga2 Ga 0.0000 0.5000 0.6683
```



(8)
Density functional theory data (PBE) for a geometry-optimized Pr2Er2Ga3 structure.

Values from the calculation:
For the magnetic moment, the calculation gives 0.0 μB/cell. The calculation puts the formation energy at -0.412 eV/atom.

Geometry as CIF:
```
data_Pr2Er2Ga3
_chemical_formula_sum 'Pr2 Er2 Ga3'
_symmetry_space_group_name_H-M 'P -1'
_symmetry_Int_Tables_number 2
_cell_length_a 3.7158
_cell_length_b 5.9900
_cell_length_c 8.2368
_cell_angle_alpha 91.62
_cell_angle_beta 90.02
_cell_angle_gamma 107.83
loop_
_symmetry_equiv_pos_as_xyz
'x,y,z'
'-x,-y,-z'
loop_
_atom_site_label
_atom_site_type_symbol
_atom_site_fract_x
_atom_site_fract_y
_atom_site_fract_z
Pr1 Pr 0.2073 0.4146 0.1651
Er1 Er 0.0597 0.1138 0.6940
Ga1 Ga 0.3324 0.6661 0.5387
Ga2 Ga 0.5000 0.0000 0.0000
```